GGA-PBE ScVCr, relaxed; formation energy = 0.267 eV/atom
1.0
2.905 0.000 0.000
0.179 4.101 0.000
0.159 1.481 3.968
Sc V Cr
1 1 1
Cartesian
0.000 0.000 0.000
1.381 3.602 2.515
1.953 1.949 1.421